The following is a PBE-GGA calculation of a geometry-optimized La3Pm3Ag2 structure, from Alexandria via LeMat-Bulk.

The calculation puts the total magnetization at 0.00 μB per formula unit. The energy is -141.20 eV for the cell shown. For the calculated formation energy, the calculation gives -70 meV/atom.

The structure belongs to space group Cmcm (No. 63); the cell edges are 5.246, 12.006 and 16.135 Å and the angles 90.00°, 90.00° and 90.00°. The inequivalent atoms are La at (0.000, 0.044, 0.111), La at (0.000, 0.310, 0.250), Pm at (0.000, 0.358, 0.030), Pm at (0.000, 0.414, 0.750) and Ag at (0.000, 0.224, 0.624).



The following is a PBE-GGA calculation of a geometry-optimized La3PmAg7 structure, from Alexandria via LeMat-Bulk.

The calculation puts the total magnetization at 0.00 μB per formula unit. The energy is -165.81 eV for the cell shown. For the calculated formation energy, the calculation gives -178 meV/atom.

The structure belongs to space group Cmcm (No. 63); the cell edges are 3.887, 21.158 and 14.272 Å and the angles 90.00°, 90.00° and 90.00°. The inequivalent atoms are La at (0.000, 0.121, 0.032), La at (0.000, 0.231, 0.750), Pm at (0.000, 0.013, 0.750), Ag at (0.000, 0.269, 0.065), Ag at (0.000, 0.384, 0.153), Ag at (0.000, 0.394, 0.750) and Ag at (0.000, 0.490, 0.592).